[1]
CrHg2I: optimized geometry, PBE.

```
CrHg2I
1.0
5.786 0.000 0.000
1.182 7.304 0.000
2.835 3.093 6.283
Cr Hg I
2 4 2
Direct
0.000 0.000 0.000 Cr
0.201 0.310 0.120 Cr
0.206 0.862 0.337 Hg
0.417 0.279 0.722 Hg
0.711 0.657 0.357 Hg
0.998 0.234 0.560 Hg
0.273 0.731 0.853 I
0.701 0.272 0.134 I
```

Computed properties:
**Raw formation energy**: 131 meV/atom
**D(E_F)**: 0.36 states/eV per atom
**Magnetic moment**: 9.58 μB per cell

[2]
Rb3Zr3AgTe8: optimized geometry, PBE.

```
Rb3Zr3AgTe8
1.0
4.252 2.455 8.660
-4.252 2.455 8.660
0.000 -4.909 8.660
Rb Zr Ag Te
3 3 1 8
Direct
0.000 0.500 0.500 Rb
0.500 0.000 0.500 Rb
0.500 0.500 0.000 Rb
0.000 0.000 0.500 Zr
0.000 0.500 0.000 Zr
0.500 0.000 0.000 Zr
0.500 0.500 0.500 Ag
0.218 0.736 0.736 Te
0.232 0.232 0.232 Te
0.264 0.264 0.782 Te
0.264 0.782 0.264 Te
0.736 0.218 0.736 Te
0.736 0.736 0.218 Te
0.768 0.768 0.768 Te
0.782 0.264 0.264 Te
```

Computed properties:
**Raw formation energy**: -814 meV/atom
**D(E_F)**: 0.43 states/eV per atom
**Magnetic moment**: 0.00 μB per cell

[3]
LaPr2ScP4: optimized geometry, PBE.

```
LaPr2ScP4
1.0
7.128 0.000 0.000
0.000 4.131 0.000
-2.368 0.000 6.726
La Pr Sc P
1 2 1 4
Direct
0.000 0.000 0.000 La
0.000 0.500 0.500 Pr
0.500 0.000 0.500 Pr
0.500 0.500 0.000 Sc
0.260 0.500 0.242 P
0.267 0.000 0.766 P
0.733 0.000 0.234 P
0.740 0.500 0.758 P
```

Computed properties:
**Formation energy from the elements**: -33.6 kcal/mol of atoms
**D(E_F)**: 0.09 states/eV per atom
**Magnetic moment**: 0.00 μB per cell

[4]
BAs: optimized geometry, PBE.

```
BAs
1.0
0.000 4.703 4.711
3.406 0.000 4.711
3.406 4.703 0.000
B As
4 4
Direct
0.032 0.032 0.718 B
0.282 0.282 0.968 B
0.718 0.718 0.032 B
0.968 0.968 0.282 B
0.039 0.711 0.039 As
0.289 0.961 0.289 As
0.711 0.039 0.711 As
0.961 0.289 0.961 As
```

Computed properties:
**Formation energy from the elements**: 9.7 kcal/mol of atoms
**Magnetic moment**: 0.00 μB per cell

[5]
RuPbF3: optimized geometry, PBE.

```
RuPbF3
1.0
4.316 0.000 0.000
0.000 4.316 0.000
0.000 0.000 4.316
Ru Pb F
1 1 3
Direct
0.000 0.000 0.000 Ru
0.500 0.500 0.500 Pb
0.000 0.000 0.500 F
0.000 0.500 0.000 F
0.500 0.000 0.000 F
```

Computed properties:
**Raw formation energy**: -1021 meV/atom
**D(E_F)**: 0.85 states/eV per atom
**Magnetic moment**: 1.30 μB per cell

[6]
TcW2Au: optimized geometry, PBE.

```
TcW2Au
1.0
0.000 3.187 3.187
3.187 0.000 3.187
3.187 3.187 0.000
Tc W Au
1 2 1
Direct
0.000 0.000 0.000 Tc
0.500 0.500 0.500 W
0.750 0.750 0.750 W
0.250 0.250 0.250 Au
```

Computed properties:
**Formation energy from the elements**: 10.6 kcal/mol of atoms
**D(E_F)**: 1.34 states/eV per atom
**Magnetic moment**: 0.00 μB per cell

[7]
MgZr3Ir4: optimized geometry, PBE.

```
MgZr3Ir4
1.0
2.321 1.340 7.573
-2.321 1.340 7.573
0.000 -2.680 7.573
Mg Zr Ir
1 3 4
Direct
0.000 0.000 0.000 Mg
0.255 0.255 0.255 Zr
0.500 0.500 0.500 Zr
0.745 0.745 0.745 Zr
0.129 0.129 0.129 Ir
0.379 0.379 0.379 Ir
0.621 0.621 0.621 Ir
0.871 0.871 0.871 Ir
```

Computed properties:
**Formation energy from the elements**: -17.3 kcal/mol of atoms
**D(E_F)**: 0.88 states/eV per atom
**Magnetic moment**: 0.00 μB per cell

[8]
Cr2Ge2S: optimized geometry, PBE.

```
Cr2Ge2S
1.0
-2.378 2.378 3.927
2.378 -2.378 3.927
2.378 2.378 -3.927
Cr Ge S
2 2 1
Direct
0.250 0.750 0.500 Cr
0.750 0.250 0.500 Cr
0.160 0.160 0.000 Ge
0.840 0.840 0.000 Ge
0.500 0.500 0.000 S
```

Computed properties:
**Raw formation energy**: 485 meV/atom
**D(E_F)**: 0.95 states/eV per atom
**Magnetic moment**: 5.34 μB per cell

[9]
ScTe2Pt: optimized geometry, PBE.

```
ScTe2Pt
1.0
-1.971 2.186 6.803
1.971 -2.186 6.803
1.971 2.186 -6.803
Sc Te Pt
1 2 1
Direct
0.000 0.000 0.000 Sc
0.359 0.859 0.500 Te
0.641 0.141 0.500 Te
0.500 0.500 0.000 Pt
```

Computed properties:
**Raw formation energy**: -750 meV/atom
**D(E_F)**: 0.86 states/eV per atom
**Magnetic moment**: 0.00 μB per cell

[10]
Pm2Nd4SmTh: optimized geometry, PBE.

```
Pm2Nd4SmTh
1.0
6.322 0.000 0.000
0.000 3.653 0.000
-2.128 0.000 11.955
Pm Nd Sm Th
2 4 1 1
Direct
0.000 0.000 0.000 Pm
0.000 0.500 0.500 Pm
0.252 0.000 0.748 Nd
0.257 0.500 0.254 Nd
0.743 0.500 0.746 Nd
0.748 0.000 0.252 Nd
0.500 0.500 0.000 Sm
0.500 0.000 0.500 Th
```

Computed properties:
**Formation energy from the elements**: 0.7 kcal/mol of atoms
**D(E_F)**: 1.60 states/eV per atom
**Magnetic moment**: 0.00 μB per cell

[11]
CaPa2S6: optimized geometry, PBE.

```
CaPa2S6
1.0
6.940 0.000 0.000
-3.470 6.010 0.000
0.000 0.000 5.993
Ca Pa S
1 2 6
Direct
0.000 0.000 0.000 Ca
0.333 0.667 0.500 Pa
0.667 0.333 0.500 Pa
0.000 0.357 0.736 S
0.000 0.643 0.264 S
0.357 0.000 0.736 S
0.357 0.357 0.264 S
0.643 0.000 0.264 S
0.643 0.643 0.736 S
```

Computed properties:
**Raw formation energy**: -1648 meV/atom
**D(E_F)**: 0.00 states/eV per atom
**Magnetic moment**: 0.00 μB per cell

[12]
Ac2LaAg2Pb2: optimized geometry, PBE.

```
Ac2LaAg2Pb2
1.0
2.508 1.448 10.415
-2.508 1.448 10.415
0.000 -2.896 10.415
Ac La Ag Pb
2 1 2 2
Direct
0.123 0.123 0.123 Ac
0.877 0.877 0.877 Ac
0.000 0.000 0.000 La
0.387 0.387 0.387 Ag
0.613 0.613 0.613 Ag
0.270 0.270 0.270 Pb
0.730 0.730 0.730 Pb
```

Computed properties:
**Formation energy from the elements**: -6.7 kcal/mol of atoms
**D(E_F)**: 0.72 states/eV per atom
**Magnetic moment**: 0.00 μB per cell